Record 1
Density functional theory data (PBEsol) for a relaxed structure of Cu2ReRu.

Computed properties:
The density of states at the Fermi level comes out at 8.69 states/eV/cell. The energy relative to the lowest polymorph listed for this composition comes out at 0.69 eV per formula unit.

a = 8.7725 Å, b = 2.6377 Å, c = 4.5275 Å
α = 90.00°, β = 99.88°, γ = 90.00°
Space group C2/m (No. 12)
Symmetry-distinct sites (fractional):
Cu  0.2498  0.0000  0.2504 x4
Re  0.0000  0.0000  0.5000 x2
Ru  0.0000  0.5000  0.0000 x2

Record 2
Density functional theory data (PBEsol) for a relaxed structure of CuNi.

Computed properties:
The density of states at the Fermi level comes out at 10.67 states/eV/cell.

a = 2.6058 Å, b = 4.0824 Å, c = 8.1304 Å
α = 90.00°, β = 90.00°, γ = 90.00°
Space group Imma (No. 74)
Symmetry-distinct sites (fractional):
Cu  0.0000  0.2500  0.1238 x4
Ni  0.0000  0.2500  0.6279 x4

Record 3
Density functional theory data (PBEsol) for a relaxed structure of PaNi4Sn6.

Computed properties:
The density of states at the Fermi level comes out at 20.94 states/eV/cell.

a = 6.6735 Å, b = 6.6735 Å, c = 9.3123 Å
α = 90.00°, β = 90.00°, γ = 90.00°
Space group I-42m (No. 121)
Symmetry-distinct sites (fractional):
Pa  0.0000  0.0000  0.0000 x2
Ni  0.1653  0.1653  0.4281 x8
Sn  0.0000  0.5000  0.0000 x4
Sn  0.1823  0.1823  0.7103 x8

no.,energy of formation from the pure elements (eV per formula unit)
1,1.23
2,0.17
3,-2.42